1.
CsLaAlAu GGA-PBE optimized geometry; crystal system = cubic; uncorrected energy = -3.1359 eV per atom; M_tot = 0.00 μB per atom; symmetry = F-43m; offset from the most stable computed form = 0 meV/atom
1.0
3.830 -2.808 2.440
0.616 0.362 5.292
-1.298 -4.128 3.128
Au Cs Al La
1 1 1 1
direct
0.750 0.750 0.750
0.250 0.250 0.250
0.000 0.000 0.000
0.500 0.500 0.500

2.
AlGaHgSe2S2 GGA-PBE optimized geometry; crystal system = monoclinic; uncorrected energy = -3.8248 eV per atom; symmetry = C2
1.0
-1.678 0.673 -6.392
-5.433 -2.296 3.056
2.254 4.670 2.363
Hg Se Ga Al S
1 2 1 1 2
direct
0.999 0.001 0.000
0.861 0.582 0.462
0.418 0.139 0.538
0.495 0.505 0.000
0.255 0.745 0.500
0.579 0.857 0.980
0.143 0.421 0.020

3.
Si5AgMo3 GGA-PBE optimized geometry; crystal system = hexagonal; uncorrected energy = -6.7413 eV per atom; M_tot = 0.00 μB per atom; symmetry = P6/mmm
1.0
-0.244 4.398 3.058
1.036 -4.764 2.233
6.255 0.952 -0.871
Si Mo Ag
5 3 1
direct
0.000 0.000 0.500
0.667 0.333 0.819
0.333 0.667 0.181
0.667 0.333 0.181
0.333 0.667 0.819
0.500 0.500 0.500
0.000 0.500 0.500
0.500 0.000 0.500
0.000 0.000 0.000

4.
RbSnHg GGA-PBE optimized geometry; crystal system = cubic; uncorrected energy = -1.2894 eV per atom; symmetry = F-43m; offset from the most stable computed form = 401 meV/atom
1.0
0.000 4.062 4.062
4.062 0.000 4.062
4.062 4.062 0.000
Sn Hg Rb
1 1 1
direct
0.750 0.750 0.750
0.250 0.250 0.250
0.000 0.000 0.000

5.
CdAg2SnSe3S GGA-PBE optimized geometry; crystal system = monoclinic; uncorrected energy = -3.4925 eV per atom; symmetry = Cm
1.0
4.244 -4.292 0.000
4.244 4.292 0.000
-4.209 0.000 6.137
Se Ag S Cd Sn
3 2 1 1 1
direct
0.618 0.133 0.753
0.869 0.869 0.258
0.133 0.618 0.753
0.257 0.734 0.491
0.734 0.257 0.491
0.382 0.382 0.244
0.009 0.009 0.007
0.498 0.498 0.005

6.
Ho2Tm3Hg3 GGA-PBE optimized geometry; crystal system = orthorhombic; uncorrected energy = -3.1116 eV per atom; M_tot = 0.01 μB per atom; symmetry = Amm2; offset from the most stable computed form = 0 meV/atom
1.0
5.511 0.000 0.000
0.000 3.551 5.410
0.000 -3.551 5.410
Ho Hg Tm
2 3 3
direct
0.500 0.697 0.697
0.000 0.328 0.328
0.500 0.638 0.210
0.000 0.832 0.832
0.500 0.210 0.638
0.000 0.828 0.323
0.500 0.144 0.144
0.000 0.323 0.828

7.
Cs2InAuF6 GGA-PBE optimized geometry; crystal system = cubic; uncorrected energy = -4.0540 eV per atom; symmetry = Fm-3m
1.0
0.000 4.453 4.453
4.453 0.000 4.453
4.453 4.453 0.000
F Au Cs In
6 1 2 1
direct
0.767 0.233 0.767
0.767 0.767 0.233
0.233 0.767 0.233
0.233 0.767 0.767
0.767 0.233 0.233
0.233 0.233 0.767
0.500 0.500 0.500
0.750 0.750 0.750
0.250 0.250 0.250
0.000 0.000 0.000

8.
LiTlFeCo GGA-PBE optimized geometry; crystal system = cubic; uncorrected energy = -4.6977 eV per atom; M_tot = 0.89 μB per atom; symmetry = F-43m; offset from the most stable computed form = 0 meV/atom
1.0
3.249 -2.803 0.226
-0.810 -4.212 0.259
0.863 -2.563 -3.339
Li Fe Tl Co
1 1 1 1
direct
0.250 0.250 0.250
0.500 0.500 0.500
0.000 0.000 0.000
0.750 0.750 0.750